[1]
## CeHo2Tl2Cd2 (PBE)

Data for CeHo2Tl2Cd2 after structural relaxation.

Summary:
The calculation puts the formation energy at -0.12 eV/atom.

Cell lengths 9.1406, 9.1406, 9.1406 Å; angles 32.14, 32.14, 32.14 degrees
Closest atoms and distances in Å follow each position.
Atoms (fractional coordinates):
Ce: 0.0000 0.0000 0.0000  6 Tl 3.38, 2 Ho 3.47
Ho: 0.1334 0.1334 0.1334  3 Cd 3.06, 3 Ho 3.40, 3 Tl 3.41
Ho: 0.8666 0.8666 0.8666  3 Cd 3.06, 3 Ho 3.40, 3 Tl 3.41
Tl: 0.2679 0.2679 0.2679  3 Cd 3.05, 3 Ce 3.38, 3 Ho 3.41
Tl: 0.7321 0.7321 0.7321  3 Cd 3.05, 3 Ce 3.38, 3 Ho 3.41
Cd: 0.4323 0.4323 0.4323  3 Tl 3.05, 3 Ho 3.06
Cd: 0.5677 0.5677 0.5677  3 Tl 3.05, 3 Ho 3.06

=====

[2]
## TePb2 (PBE)

Data for TePb2 after structural relaxation.

Summary:
Its relative energy among the computed polymorphs is 0.1015 eV/atom. As for the formation energy from raw total energies: -3 kJ per mole of atoms.

Cell lengths 9.1818, 9.1818, 4.0379 Å; angles 90.00, 90.00, 120.00 degrees
Closest atoms and distances in Å follow each position.
Atoms (fractional coordinates):
Te: 0.0000 0.0000 0.0000  6 Pb 3.26
Te: 0.3333 0.6667 0.5000  9 Pb 3.34-3.44
Te: 0.6667 0.3333 0.5000  9 Pb 3.34-3.44
Pb: 0.0000 0.2781 0.5000  4 Te 3.26-3.34, 2 Pb 3.52
Pb: 0.0000 0.5916 0.0000  5 Te 3.44-3.75, 2 Pb 3.52
Pb: 0.2781 0.0000 0.5000  4 Te 3.26-3.34, 2 Pb 3.52
Pb: 0.4084 0.4084 0.0000  5 Te 3.44-3.75, 2 Pb 3.52
Pb: 0.5916 0.0000 0.0000  5 Te 3.44-3.75, 2 Pb 3.52
Pb: 0.7219 0.7219 0.5000  4 Te 3.26-3.34, 2 Pb 3.52

=====

[3]
## CdNiW2 (PBE)

Data for CdNiW2 after structural relaxation.

Summary:
The calculation puts the formation energy at 0.22 eV/atom.

Cell lengths 3.2731, 4.3957, 8.8148 Å; angles 90.00, 90.00, 90.00 degrees
Closest atoms and distances in Å follow each position.
Atoms (fractional coordinates):
Cd: 0.0000 0.0000 0.0000  2 Ni 2.73, 4 Cd 2.74, 2 W 2.99
Cd: 0.5000 0.5000 0.0000  2 Ni 2.73, 4 Cd 2.74, 2 W 2.99
Ni: 0.0000 0.5000 0.7528  2 W 2.51, 2 Cd 2.73, 4 Ni 2.74
Ni: 0.5000 0.0000 0.7528  2 W 2.51, 2 Cd 2.73, 4 Ni 2.74
W: 0.0000 0.0000 0.5369  2 Ni 2.51, 6 W 2.74-2.76
W: 0.0000 0.5000 0.2842  6 W 2.74-2.76, 2 Cd 2.99
W: 0.5000 0.0000 0.2842  6 W 2.74-2.76, 2 Cd 2.99
W: 0.5000 0.5000 0.5369  2 Ni 2.51, 6 W 2.74-2.76

=====

[4]
## InBIr3 (PBE)

Data for InBIr3 after structural relaxation.

Summary:
The calculation puts the formation energy at -0.03 eV/atom.

Cell lengths 5.7998, 5.7998, 4.9658 Å; angles 90.00, 90.00, 120.00 degrees
Closest atoms and distances in Å follow each position.
Atoms (fractional coordinates):
In: 0.3333 0.6667 0.2500  12 Ir 2.90-2.97
In: 0.6667 0.3333 0.7500  12 Ir 2.90-2.97
B: 0.0000 0.0000 0.0000  6 Ir 2.12
B: 0.0000 0.0000 0.5000  6 Ir 2.12
Ir: 0.1716 0.3432 0.7500  2 B 2.12
Ir: 0.1716 0.8284 0.7500  2 B 2.12
Ir: 0.3432 0.1716 0.2500  2 B 2.12
Ir: 0.6568 0.8284 0.7500  2 B 2.12
Ir: 0.8284 0.1716 0.2500  2 B 2.12
Ir: 0.8284 0.6568 0.2500  2 B 2.12

=====

[5]
## NbPH3 (PBE)

Data for NbPH3 after structural relaxation.

Summary:
Its relative energy among the computed polymorphs is 0.2390 eV/atom.

Cell lengths 3.4011, 3.4011, 3.4011 Å; angles 90.00, 90.00, 90.00 degrees
Closest atoms and distances in Å follow each position.
Atoms (fractional coordinates):
Nb: 0.0000 0.0000 0.0000  12 H 2.40
P: 0.5000 0.5000 0.5000  6 H 1.70
H: 0.0000 0.5000 0.5000  2 P 1.70
H: 0.5000 0.0000 0.5000  2 P 1.70
H: 0.5000 0.5000 0.0000  2 P 1.70

=====

[6]
## YErMg2Au4 (PBE)

Data for YErMg2Au4 after structural relaxation.

Summary:
The calculation puts the formation energy at -0.79 eV/atom.

Cell lengths 8.4563, 8.4563, 8.4563 Å; angles 33.70, 33.70, 33.70 degrees
Closest atoms and distances in Å follow each position.
Atoms (fractional coordinates):
Y: 0.0000 0.0000 0.0000  8 Au 3.01-3.03
Er: 0.5000 0.5000 0.5000  8 Au 2.96-2.99
Mg: 0.2499 0.2499 0.2499  8 Au 2.94-3.01
Mg: 0.7501 0.7501 0.7501  8 Au 2.94-3.01
Au: 0.1268 0.1268 0.1268  4 Mg 2.94-3.01, 3 Er 2.99, 1 Y 3.03
Au: 0.3760 0.3760 0.3760  1 Er 2.96, 4 Mg 2.99-3.01, 3 Y 3.01
Au: 0.6240 0.6240 0.6240  1 Er 2.96, 4 Mg 2.99-3.01, 3 Y 3.01
Au: 0.8732 0.8732 0.8732  4 Mg 2.94-3.01, 3 Er 2.99, 1 Y 3.03

=====

[7]
## ZrTi2SbO (PBE)

Data for ZrTi2SbO after structural relaxation.

Summary:
Its relative energy among the computed polymorphs is 2.4767 eV/atom. As for the formation energy from raw total energies: 125 kJ per mole of atoms.

Cell lengths 4.8987, 4.8987, 5.3409 Å; angles 90.00, 90.00, 90.00 degrees
Closest atoms and distances in Å follow each position.
Atoms (fractional coordinates):
Zr: 0.0000 0.0000 0.0000  4 Ti 2.45, 2 Sb 2.67
Ti: 0.0000 0.5000 0.0000  2 Zr 2.45
Ti: 0.5000 0.0000 0.0000  2 Zr 2.45
Sb: 0.0000 0.0000 0.5000  2 Zr 2.67
O: 0.5000 0.5000 0.5000  4 Sb 3.46, 8 Ti 3.62

=====

[8]
## BaY2Tc (PBE)

Data for BaY2Tc after structural relaxation.

Summary:
Its relative energy among the computed polymorphs is 0.5508 eV/atom. The calculation puts the formation energy at 0.66 eV/atom.

Cell lengths 6.8541, 7.9370, 4.0150 Å; angles 90.00, 90.00, 90.00 degrees
Closest atoms and distances in Å follow each position.
Atoms (fractional coordinates):
Ba: 0.0000 0.0000 0.0000  8 Y 3.30, 2 Tc 3.43
Ba: 0.5000 0.5000 0.0000  8 Y 3.30, 2 Tc 3.43
Y: 0.2500 0.2500 0.5000  4 Tc 3.30, 4 Ba 3.30, 2 Y 3.43
Y: 0.2500 0.7500 0.5000  4 Ba 3.30, 4 Tc 3.30, 2 Y 3.43
Y: 0.7500 0.2500 0.5000  4 Ba 3.30, 4 Tc 3.30, 2 Y 3.43
Y: 0.7500 0.7500 0.5000  4 Ba 3.30, 4 Tc 3.30, 2 Y 3.43
Tc: 0.0000 0.5000 0.0000  8 Y 3.30, 2 Ba 3.43
Tc: 0.5000 0.0000 0.0000  8 Y 3.30, 2 Ba 3.43

=====

[9]
## SmCdBi2 (PBE)

Data for SmCdBi2 after structural relaxation.

Summary:
The calculation puts the formation energy at -0.43 eV/atom.

Cell lengths 5.1151, 5.1151, 4.3663 Å; angles 90.00, 90.00, 90.00 degrees
Closest atoms and distances in Å follow each position.
Atoms (fractional coordinates):
Sm: 0.0000 0.0000 0.0000  8 Bi 3.36, 4 Cd 3.62
Cd: 0.5000 0.5000 0.0000  8 Bi 3.36, 4 Sm 3.62
Bi: 0.0000 0.5000 0.5000  4 Cd 3.36, 4 Sm 3.36, 4 Bi 3.62
Bi: 0.5000 0.0000 0.5000  4 Cd 3.36, 4 Sm 3.36, 4 Bi 3.62

=====

[10]
## Sc8CdTc2 (PBE)

Data for Sc8CdTc2 after structural relaxation.

Summary:
The calculation puts the formation energy at -0.16 eV/atom.

Cell lengths 8.3801, 8.3801, 4.9725 Å; angles 107.24, 107.24, 121.67 degrees
Closest atoms and distances in Å follow each position.
Atoms (fractional coordinates):
Sc: 0.0000 0.0000 0.0000  2 Tc 2.72, 2 Sc 3.03
Sc: 0.2488 0.9130 0.5800  1 Cd 2.84, 3 Tc 2.85-3.04, 3 Sc 3.09-3.10
Sc: 0.3293 0.5554 0.4417  1 Tc 2.53
Sc: 0.4060 0.8201 0.1120  3 Tc 2.68-2.87
Sc: 0.5554 0.3293 0.4417  1 Tc 2.53
Sc: 0.7331 0.7331 0.2337  1 Cd 2.80, 4 Sc 3.03-3.13
Sc: 0.8201 0.4060 0.1120  3 Tc 2.68-2.87
Sc: 0.9130 0.2488 0.5800  1 Cd 2.84, 3 Tc 2.85-3.04, 3 Sc 3.09-3.10
Cd: 0.3006 0.3006 0.8001  7 Sc 2.80-3.12
Tc: 0.6466 0.9801 0.8119  3 Sc 2.53-2.72
Tc: 0.9801 0.6466 0.8119  3 Sc 2.53-2.72

=====

| no. | DFT total energy (eV/atom) |
| --- | --- |
| 1 | -3.214 |
| 2 | -3.556 |
| 3 | -7.932 |
| 4 | -7.233 |
| 5 | -4.426 |
| 6 | -4.201 |
| 7 | -5.386 |
| 8 | -5.648 |
| 9 | -3.779 |
| 10 | -6.735 |